Computed, not measured: a relaxed structure of BaVSF2 at the GGA+U level of DFT.

The structure belongs to space group P4/mmm (No. 123); the cell edges are 4.166, 4.166 and 8.959 Å and the angles 90.00°, 90.00° and 90.00°. The asymmetric unit holds Ba at (0.000, 0.000, 0.000), V at (0.000, 0.000, 0.500), S at (0.500, 0.500, 0.000) and F at (0.000, 0.500, 0.500).

As for the density of states at the Fermi level: 0.403 states/eV/atom. As for the energy: -25.5 eV per formula unit.